The following is a PBE+U calculation of a relaxed structure of CoW2O, from Alexandria.

Structure (POSCAR):
```
CoW2O
1.0
6.071 0.000 0.000
0.000 6.071 0.000
3.036 3.036 2.924
Co O W
2 2 4
Direct
0.000 0.000 0.000
0.750 0.250 0.500
0.500 0.500 0.000
0.250 0.750 0.500
0.574 0.125 0.250
0.176 0.625 0.250
0.375 0.426 0.750
0.875 0.824 0.750
```

Calculated values
N(E_F)   2.30 states/eV/f.u.
Total DFT energy (no corrections)   -5.420 eV/atom